Entry 1:
A geometry-optimized FeP3Au structure. Source: Alexandria, functional PBEsol.

As for the calculated formation energy: 0.50 eV per atom. As for the uncorrected energy: -5.55 eV per atom. The calculation puts the polymorph energy (0 for the lowest one) at 0 meV/atom. The value obtained for the calculated density is 7.26 g/cm³.

Unit cell a=4.2929 b=4.2929 c=4.2929 alpha=90.00 beta=90.00 gamma=90.00
Fractional coordinates of all 5 atoms:
P1 0.0000 0.5000 0.0000
P2 0.0000 0.0000 0.5000
P3 0.5000 0.0000 0.0000
Au1 0.5000 0.5000 0.5000
Fe1 0.0000 0.0000 0.0000

Entry 2:
A geometry-optimized FePb2Au structure. Source: Alexandria, functional PBEsol.

As for the calculated formation energy: 0.42 eV per atom. As for the uncorrected energy: -4.80 eV per atom. The value obtained for the calculated density is 13.21 g/cm³.

Unit cell a=3.3768 b=4.9831 c=4.9831 alpha=90.13 beta=90.00 gamma=90.00
Last column: magnetic moment on the atom in μB.
Fractional coordinates of all 4 atoms:
Au1 0.5000 0.0000 0.0000  0.02
Fe1 0.5000 0.5000 0.5000  2.82
Pb1 0.0000 0.5000 0.0000  -0.02
Pb2 0.0000 0.0000 0.5000  -0.02

Entry 3:
A geometry-optimized Fe2Pd3Au3 structure. Source: Alexandria, functional PBEsol.

As for the calculated formation energy: 0.01 eV per atom. As for the uncorrected energy: -5.93 eV per atom. The value obtained for the calculated density is 14.27 g/cm³.

Unit cell a=3.9427 b=3.9174 c=7.6982 alpha=90.00 beta=90.00 gamma=90.00
Last column: magnetic moment on the atom in μB.
Fractional coordinates of all 8 atoms:
Fe1 0.0000 0.0000 0.7418  3.18
Fe2 0.0000 0.0000 0.2582  3.18
Pd1 0.5000 0.0000 0.5000  0.29
Pd2 0.0000 0.5000 0.0000  0.24
Pd3 0.0000 0.5000 0.5000  0.29
Au1 0.5000 0.5000 0.7461  0.11
Au2 0.5000 0.5000 0.2539  0.11
Au3 0.5000 0.0000 0.0000  0.09

Entry 4:
A geometry-optimized FePtAu2 structure. Source: Alexandria, functional PBEsol.

As for the calculated formation energy: 0.02 eV per atom. As for the uncorrected energy: -5.92 eV per atom. The value obtained for the calculated density is 17.54 g/cm³.

Unit cell a=2.8081 b=3.8165 c=5.6966 alpha=90.00 beta=90.04 gamma=90.00
Last column: magnetic moment on the atom in μB.
Fractional coordinates of all 4 atoms:
Au1 0.0001 0.0000 0.9959  0.04
Au2 0.5004 0.5000 0.2596  0.05
Fe1 0.9998 0.0000 0.5152  3.05
Pt1 0.4997 0.5000 0.7294  0.30

Entry 5:
A geometry-optimized FePtAu2 structure. Source: Alexandria, functional PBEsol.

As for the calculated formation energy: -0.02 eV per atom. As for the uncorrected energy: -5.96 eV per atom. The value obtained for the calculated density is 17.65 g/cm³.

Unit cell a=2.7866 b=2.7866 c=7.8146 alpha=90.00 beta=90.00 gamma=90.00
Last column: magnetic moment on the atom in μB.
Fractional coordinates of all 4 atoms:
Au1 0.0000 0.0000 0.9940  -0.01
Au2 0.5000 0.5000 0.2716  0.05
Fe1 0.0000 0.0000 0.5096  2.91
Pt1 0.5000 0.5000 0.7248  0.27

Entry 6:
A geometry-optimized Fe2PtAu structure. Source: Alexandria, functional PBEsol.

As for the calculated formation energy: 0.00 eV per atom. As for the uncorrected energy: -7.21 eV per atom. The calculation puts the polymorph energy (0 for the lowest one) at 9 meV/atom. The value obtained for the calculated density is 15.13 g/cm³.

Unit cell a=2.7239 b=4.6337 c=4.6337 alpha=109.00 beta=90.00 gamma=90.00
Last column: magnetic moment on the atom in μB.
Fractional coordinates of all 4 atoms:
Au1 0.5000 0.0000 0.0000  0.09
Fe1 0.0000 0.0000 0.5000  2.88
Fe2 0.0000 0.5000 0.0000  2.88
Pt1 0.5000 0.5000 0.5000  0.33

- calculated formation energy of number 3 (Fe2Pd3Au3)?
  0.01 eV per atom